Entry from the Alexandria database: crystalline KHg3Pt at its relaxed geometry (PBE).

Cell and atoms, written as CIF:
```
data_KHg3Pt
_chemical_formula_sum 'K2 Hg6 Pt2'
_cell_length_a 5.3913
_cell_length_b 8.2299
_cell_length_c 7.5881
_cell_angle_alpha 90.00
_cell_angle_beta 104.58
_cell_angle_gamma 90.00
_symmetry_space_group_name_H-M 'P 1 21/m 1'
_symmetry_Int_Tables_number 11
loop_
_symmetry_equiv_pos_as_xyz
'x,y,z'
'-x,-y,-z'
'-x,y+1/2,-z'
'x,-y+1/2,z'
loop_
_atom_site_label
_atom_site_fract_x
_atom_site_fract_y
_atom_site_fract_z
K1 0.2309 0.2500 0.4338
Hg1 0.0989 0.7500 0.1551
Hg2 0.3536 0.5730 0.8030
Pt1 0.4065 0.2500 0.8625
```

Summary:
energy of formation	-143	meV/atom
energy	-17.5	eV/cell
total moment	0.000	μB per formula unit
excess energy over the best structure of this formula in the dataset	125.7	meV per atom
volume	326	Å³ per cell
DOS(E_F)	0.292	states/eV/atom